# Sr2BeCl | Alexandria via LeMat-Bulk | PBE-GGA | optimized geometry
# Uncorrected formation energy ... -2.2 eV per formula unit
# VASP energy ... -11.141 eV/cell
# Energy above the lowest structure with this stoichiometry ... 0.029 eV per atom
data_Sr2BeCl
_cell_length_a 4.436
_cell_length_b 4.436
_cell_length_c 6.300
_cell_angle_alpha 90.00
_cell_angle_beta 90.00
_cell_angle_gamma 90.00
_space_group_name_H-M_alt 'P 1'
_space_group_IT_number 1
loop_
_space_group_symop_operation_xyz
'x,y,z'
loop_
_atom_site_label
_atom_site_fract_x
_atom_site_fract_y
_atom_site_fract_z
_atom_site_occupancy
Sr1 0.000 0.000 0.000 1
Sr2 0.500 0.500 0.500 1
Be1 0.000 0.000 0.500 1
Cl1 0.500 0.500 0.000 1



# MnV2Mo | Alexandria via LeMat-Bulk | PBE-GGA | optimized geometry
# VASP energy ... -72.553 eV/cell
# Formation enthalpy at 0 K ... 0.49 eV per atom
data_MnV2Mo
_cell_length_a 5.341
_cell_length_b 5.341
_cell_length_c 5.341
_cell_angle_alpha 103.40
_cell_angle_beta 103.40
_cell_angle_gamma 122.45
_space_group_name_H-M_alt 'P 1'
_space_group_IT_number 1
loop_
_space_group_symop_operation_xyz
'x,y,z'
loop_
_atom_site_label
_atom_site_fract_x
_atom_site_fract_y
_atom_site_fract_z
_atom_site_occupancy
Mn1 0.000 0.000 0.000 1
Mn2 0.750 0.250 0.500 1
V1 0.099 0.625 0.974 1
V2 0.375 0.349 0.474 1
V3 0.651 0.125 0.026 1
V4 0.875 0.901 0.526 1
Mo1 0.250 0.750 0.500 1
Mo2 0.500 0.500 0.000 1



# Ti3BiBr | Alexandria via LeMat-Bulk | PBE-GGA | optimized geometry
# Uncorrected formation energy ... 1.9 eV per formula unit
# VASP energy ... -27.365 eV/cell
# Energy above the lowest structure with this stoichiometry ... 0.000 eV per atom
data_Ti3BiBr
_cell_length_a 4.747
_cell_length_b 4.747
_cell_length_c 4.747
_cell_angle_alpha 90.00
_cell_angle_beta 90.00
_cell_angle_gamma 90.00
_space_group_name_H-M_alt 'P 1'
_space_group_IT_number 1
loop_
_space_group_symop_operation_xyz
'x,y,z'
loop_
_atom_site_label
_atom_site_fract_x
_atom_site_fract_y
_atom_site_fract_z
_atom_site_occupancy
Ti1 0.000 0.000 0.500 1
Ti2 0.000 0.500 0.000 1
Ti3 0.500 0.000 0.000 1
Bi1 0.500 0.500 0.500 1
Br1 0.000 0.000 0.000 1